No. 1
## Pm2Pd3Au8 (PBE)

Data for a geometry-optimized Pm2Pd3Au8 structure.

The value obtained for the formation energy is -361 meV/atom. As for the crystal system: monoclinic. The value obtained for the total energy is -4.307 eV per atom.

The space group is C2/m (No. 12) and the conventional cell measures 11.583, 7.601 and 6.105 Å, with angles of 90.00, 100.72 and 90.00 degrees. The distinct sites, in fractional coordinates, are Pm at (0.208, 0.000, 0.303), Pd at (0.000, 0.000, 0.000), Pd at (0.000, 0.181, 0.500), Au at (0.077, 0.500, 0.342), Au at (0.117, 0.312, 0.946) and Au at (0.195, 0.000, 0.774).

No. 2
## LaPIr2 (PBE)

Data for a geometry-optimized LaPIr2 structure.

The value obtained for the formation energy is -673 meV/atom. As for the crystal system: orthorhombic. The value obtained for the total energy is -7.687 eV per atom.

The space group is Cmmm (No. 65) and the conventional cell measures 5.546, 7.354 and 4.215 Å, with angles of 90.00, 90.00 and 90.00 degrees. The distinct sites, in fractional coordinates, are La at (0.000, 0.000, 0.000), P at (0.000, 0.500, 0.500) and Ir at (0.250, 0.250, 0.500).